Entry 1:
Below is BeGaAu after structural relaxation, with properties calculated at the PBE level.

Computed properties:
* polymorph energy (0 for the lowest one): 30 meV/atom
* total energy: -10.189 eV for the cell shown

Cell lengths 4.0146, 4.0146, 4.0146 Å; angles 60.00, 60.00, 60.00 degrees
Last column: nearest neighbours and their distance in Å.
Fractional coordinates of all 3 atoms:
1 Be 0.0000 0.0000 0.0000  4 Ga 2.46, 4 Au 2.46
2 Ga 0.2500 0.2500 0.2500  4 Be 2.46
3 Au 0.7500 0.7500 0.7500  4 Be 2.46

Entry 2:
Below is BeGaAu2 after structural relaxation, with properties calculated at the PBE level.

Computed properties:
* total energy: -13.425 eV for the cell shown

Cell lengths 6.7695, 6.7695, 6.7695 Å; angles 29.76, 29.76, 29.76 degrees
Last column: nearest neighbours and their distance in Å.
Fractional coordinates of all 4 atoms:
1 Be 0.0000 0.0000 0.0000  6 Au 2.40
2 Ga 0.5000 0.5000 0.5000  6 Au 2.77
3 Au 0.2653 0.2653 0.2653  3 Be 2.40
4 Au 0.7347 0.7347 0.7347  3 Be 2.40

Entry 3:
Below is BeGaAu2 after structural relaxation, with properties calculated at the PBE level.

Computed properties:
* total energy: -13.660 eV for the cell shown

Cell lengths 2.9914, 2.9914, 6.8907 Å; angles 90.00, 90.00, 90.00 degrees
Last column: nearest neighbours and their distance in Å.
Fractional coordinates of all 4 atoms:
1 Be 0.0000 0.0000 0.0000  8 Au 2.56
2 Ga 0.0000 0.0000 0.5000  8 Au 2.91, 4 Ga 2.99
3 Au 0.5000 0.5000 0.2102  4 Be 2.56
4 Au 0.5000 0.5000 0.7898  4 Be 2.56

What is the total energy in the first record? -10.189 eV for the cell shown

The highest total energy belongs to which entry? BeGaAu

Which formula does entry 1 have? BeGaAu